Entry from Alexandria via LeMat-Bulk: a relaxed structure of Mn2Te (PBE-GGA).

```
Mn2Te
1.0
1.925 -3.334 0.000
1.925 3.334 0.000
0.000 0.000 7.089
Te Mn
2 4
Direct
0.000 0.000 0.250
0.000 0.000 0.750
0.333 0.667 0.549
0.333 0.667 0.951
0.667 0.333 0.451
0.667 0.333 0.049
```

Results
The value obtained for the spin magnetization is 0.03 μB/f.u. The uncorrected formation energy comes out at 0.427 eV per atom. Its space group is No. 194. The calculated density comes out at 8.7 g cm⁻³.

Entry from Alexandria via LeMat-Bulk: a relaxed structure of Mn5Te (PBE-GGA).

```
Mn5Te
1.0
-1.691 3.426 -4.132
-1.422 -4.878 2.419
-2.213 1.858 2.445
Mn Te
5 1
Direct
0.679 0.321 0.500
0.500 0.500 0.000
0.813 0.187 0.000
0.321 0.679 0.500
0.187 0.813 0.000
0.000 0.000 0.500
```

Results
The value obtained for the spin magnetization is 3.86 μB/f.u. As for the excess energy over the best structure of this formula in the dataset: 0.0000 eV/atom. The uncorrected formation energy comes out at 0.169 eV per atom. Its space group is No. 65. The calculated density comes out at 8.7 g cm⁻³.